Material: BaLa2Br
Method: DFT, PBE
State: relaxed

Cell: 6.0141 6.0141 6.0141 Å, 60.00 60.00 60.00°
Atoms (fractional coordinates):
Ba1 0.0000 0.0000 0.0000
La1 0.2500 0.2500 0.2500
La2 0.5000 0.5000 0.5000
Br1 0.7500 0.7500 0.7500

Calculated values
* total energy: -3.37 eV per atom
* volume: 38.45 A^3/atom
* crystal system: cubic
* formation energy without anion corrections: 0.00 eV/atom

Material: BaLa2Br
Method: DFT, PBE
State: relaxed

Cell: 5.6222 3.7809 7.5261 Å, 90.00 111.81 90.00°
Atoms (fractional coordinates):
Ba1 0.0000 0.0000 0.0000
La1 0.2742 0.0000 0.5527
La2 0.6984 0.5000 0.4007
Br1 0.4765 0.5000 0.9526

Calculated values
* total energy: -3.96 eV per atom
* volume: 37.13 A^3/atom
* crystal system: monoclinic
* formation energy without anion corrections: -0.60 eV/atom

Material: BaLa2Br
Method: DFT, PBE
State: relaxed

Cell: 3.7282 3.7282 10.7694 Å, 90.00 90.00 90.00°
Atoms (fractional coordinates):
Ba1 0.0000 0.0000 0.0000
La1 0.5000 0.5000 0.3098
La2 0.5000 0.5000 0.6902
Br1 0.0000 0.0000 0.5000

Calculated values
* total energy: -3.73 eV per atom
* volume: 37.42 A^3/atom
* crystal system: tetragonal
* formation energy without anion corrections: -0.37 eV/atom

Material: BaLa2Br
Method: DFT, PBE
State: relaxed

Cell: 11.4820 11.4820 11.4820 Å, 19.75 19.75 19.75°
Atoms (fractional coordinates):
Ba1 0.0000 0.0000 0.0000
La1 0.2356 0.2356 0.2356
La2 0.7644 0.7644 0.7644
Br1 0.5000 0.5000 0.5000

Calculated values
* total energy: -3.85 eV per atom
* volume: 37.81 A^3/atom
* crystal system: trigonal
* formation energy without anion corrections: -0.49 eV/atom